a:
DFT (PBE) results for crystalline NaLiCa2Cu at its relaxed geometry.

Cell lengths 5.6534, 5.6534, 5.0225 Å; angles 90.00, 90.00, 90.00 degrees
Positions (direct):
Na (0.0000, 0.0000, 0.0000)
Li (0.5000, 0.5000, 0.0000)
Ca (0.0000, 0.5000, 0.5000)
Ca (0.5000, 0.0000, 0.5000)
Cu (0.5000, 0.5000, 0.5000)

Calculated values
Crystal system = tetragonal
DOS at the Fermi energy = 3.5 states/eV/cell
Size of the total moment = 0.00 μB/cell

b:
DFT (PBE) results for crystalline NaLiCa2Cu at its relaxed geometry.

Cell lengths 5.5986, 5.5986, 5.4850 Å; angles 90.00, 90.00, 90.00 degrees
Positions (direct):
Na (0.0000, 0.0000, 0.0000)
Li (0.5000, 0.5000, 0.0000)
Ca (0.0000, 0.5000, 0.5000)
Ca (0.5000, 0.0000, 0.5000)
Cu (0.0000, 0.0000, 0.5000)

Calculated values
Crystal system = tetragonal
DOS at the Fermi energy = 3.0 states/eV/cell
Size of the total moment = 0.00 μB/cell

Relative to the most stable one, in eV/atom, the structures come out at a 0.000; b 0.074.

a:
DFT (PBE) results for crystalline Sr2LiCaCu at its relaxed geometry.

Cell lengths 5.9724, 5.9724, 5.6786 Å; angles 90.00, 90.00, 90.00 degrees
Positions (direct):
Sr (0.0000, 0.5000, 0.0000)
Sr (0.5000, 0.0000, 0.0000)
Li (0.0000, 0.0000, 0.5000)
Ca (0.5000, 0.5000, 0.5000)
Cu (0.5000, 0.5000, 0.0000)

Calculated values
Crystal system = tetragonal
DOS at the Fermi energy = 3.3 states/eV/cell
Size of the total moment = 0.00 μB/cell

b:
DFT (PBE) results for crystalline Sr2LiCaCu at its relaxed geometry.

Cell lengths 6.0206, 6.0206, 5.1932 Å; angles 90.00, 90.00, 90.00 degrees
Positions (direct):
Sr (0.0000, 0.5000, 0.0000)
Sr (0.5000, 0.0000, 0.0000)
Li (0.0000, 0.0000, 0.5000)
Ca (0.5000, 0.5000, 0.5000)
Cu (0.0000, 0.0000, 0.0000)

Calculated values
Crystal system = tetragonal
DOS at the Fermi energy = 4.9 states/eV/cell
Size of the total moment = 0.00 μB/cell

Relative to the most stable one, in eV/atom, the structures come out at a 0.000; b 0.048.

a:
DFT (PBE) results for crystalline Ca8MgCu4 at its relaxed geometry.

Cell lengths 8.7461, 8.7461, 8.7461 Å; angles 95.72, 95.72, 143.20 degrees
Positions (direct):
Ca (0.0000, 0.2881, 0.2881)
Ca (0.0000, 0.7119, 0.7119)
Ca (0.2881, 0.0000, 0.2881)
Ca (0.3363, 0.3363, 0.6727)
Ca (0.3363, 0.6637, 0.0000)
Ca (0.6637, 0.3363, 0.0000)
Ca (0.6637, 0.6637, 0.3273)
Ca (0.7119, 0.0000, 0.7119)
Mg (0.0000, 0.0000, 0.0000)
Cu (0.1156, 0.5000, 0.6156)
Cu (0.5000, 0.1156, 0.6156)
Cu (0.5000, 0.8844, 0.3844)
Cu (0.8844, 0.5000, 0.3844)

Calculated values
Crystal system = tetragonal
DOS at the Fermi energy = 10.4 states/eV/cell
Size of the total moment = 0.00 μB/cell

b:
DFT (PBE) results for crystalline Ca8MgCu4 at its relaxed geometry.

Cell lengths 8.2032, 8.2032, 8.2032 Å; angles 98.86, 98.86, 133.80 degrees
Positions (direct):
Ca (0.0000, 0.2196, 0.2196)
Ca (0.0000, 0.7804, 0.7804)
Ca (0.1850, 0.5000, 0.6850)
Ca (0.2196, 0.0000, 0.2196)
Ca (0.5000, 0.1850, 0.6850)
Ca (0.5000, 0.8150, 0.3150)
Ca (0.7804, 0.0000, 0.7804)
Ca (0.8150, 0.5000, 0.3150)
Mg (0.5000, 0.5000, 0.0000)
Cu (0.0000, 0.0000, 0.5000)
Cu (0.0000, 0.5000, 0.0000)
Cu (0.5000, 0.0000, 0.0000)
Cu (0.5000, 0.5000, 0.5000)

Calculated values
Crystal system = tetragonal
DOS at the Fermi energy = 9.1 states/eV/cell
Size of the total moment = 0.00 μB/cell

Relative to the most stable one, in eV/atom, the structures come out at a 0.000; b 0.065.

a:
DFT (PBE) results for crystalline Ca4MgCu2 at its relaxed geometry.

Cell lengths 5.8777, 5.8777, 14.1936 Å; angles 90.00, 90.00, 90.00 degrees
Positions (direct):
Ca (0.0000, 0.0000, 0.2217)
Ca (0.0000, 0.0000, 0.7783)
Ca (0.0000, 0.5000, 0.0000)
Ca (0.0000, 0.5000, 0.5000)
Ca (0.5000, 0.0000, 0.0000)
Ca (0.5000, 0.0000, 0.5000)
Ca (0.5000, 0.5000, 0.2783)
Ca (0.5000, 0.5000, 0.7217)
Mg (0.0000, 0.0000, 0.0000)
Mg (0.5000, 0.5000, 0.5000)
Cu (0.0000, 0.0000, 0.4177)
Cu (0.0000, 0.0000, 0.5823)
Cu (0.5000, 0.5000, 0.0823)
Cu (0.5000, 0.5000, 0.9177)

Calculated values
Crystal system = tetragonal
DOS at the Fermi energy = 8.8 states/eV/cell
Size of the total moment = 0.00 μB/cell

b:
DFT (PBE) results for crystalline Ca4MgCu2 at its relaxed geometry.

Cell lengths 8.7540, 8.7540, 8.7540 Å; angles 34.80, 34.80, 34.80 degrees
Positions (direct):
Ca (0.1149, 0.1149, 0.1149)
Ca (0.3681, 0.3681, 0.3681)
Ca (0.6319, 0.6319, 0.6319)
Ca (0.8851, 0.8851, 0.8851)
Mg (0.5000, 0.5000, 0.5000)
Cu (0.2430, 0.2430, 0.2430)
Cu (0.7570, 0.7570, 0.7570)

Calculated values
Crystal system = trigonal
DOS at the Fermi energy = 6.8 states/eV/cell
Size of the total moment = 0.00 μB/cell

Relative to the most stable one, in eV/atom, the structures come out at a 0.303; b 0.000.

a:
DFT (PBE) results for crystalline Ca2Mg3Cu at its relaxed geometry.

Cell lengths 5.9119, 5.9119, 5.9119 Å; angles 61.63, 61.63, 61.63 degrees
Positions (direct):
Ca (0.1264, 0.1264, 0.1264)
Ca (0.8736, 0.8736, 0.8736)
Mg (0.0000, 0.5000, 0.5000)
Mg (0.5000, 0.0000, 0.5000)
Mg (0.5000, 0.5000, 0.0000)
Cu (0.5000, 0.5000, 0.5000)

Calculated values
Crystal system = trigonal
DOS at the Fermi energy = 4.9 states/eV/cell
Size of the total moment = 0.00 μB/cell

b:
DFT (PBE) results for crystalline Ca2Mg3Cu at its relaxed geometry.

Cell lengths 8.4913, 8.4913, 6.3494 Å; angles 90.00, 90.00, 135.84 degrees
Positions (direct):
Ca (0.2429, 0.2429, 0.0000)
Ca (0.2429, 0.2429, 0.5000)
Ca (0.7571, 0.7571, 0.0000)
Ca (0.7571, 0.7571, 0.5000)
Mg (0.0672, 0.4533, 0.2500)
Mg (0.3484, 0.6516, 0.7500)
Mg (0.4533, 0.0672, 0.7500)
Mg (0.5467, 0.9328, 0.2500)
Mg (0.6516, 0.3484, 0.2500)
Mg (0.9328, 0.5467, 0.7500)
Cu (0.1420, 0.8580, 0.2500)
Cu (0.8580, 0.1420, 0.7500)

Calculated values
Crystal system = orthorhombic
DOS at the Fermi energy = 8.1 states/eV/cell
Size of the total moment = 0.00 μB/cell

Relative to the most stable one, in eV/atom, the structures come out at a 0.000; b 0.296.

a:
DFT (PBE) results for crystalline CaMg4Cu8 at its relaxed geometry.

Cell lengths 6.7748, 6.7748, 6.7748 Å; angles 99.54, 99.54, 131.96 degrees
Positions (direct):
Ca (0.0000, 0.0000, 0.0000)
Mg (0.0000, 0.0000, 0.5000)
Mg (0.0000, 0.5000, 0.0000)
Mg (0.5000, 0.0000, 0.0000)
Mg (0.5000, 0.5000, 0.5000)
Cu (0.0000, 0.3602, 0.3602)
Cu (0.0000, 0.6398, 0.6398)
Cu (0.2848, 0.5000, 0.7848)
Cu (0.3602, 0.0000, 0.3602)
Cu (0.5000, 0.2848, 0.7848)
Cu (0.5000, 0.7152, 0.2152)
Cu (0.6398, 0.0000, 0.6398)
Cu (0.7152, 0.5000, 0.2152)

Calculated values
Crystal system = tetragonal
DOS at the Fermi energy = 3.7 states/eV/cell
Size of the total moment = 0.00 μB/cell

b:
DFT (PBE) results for crystalline CaMg4Cu8 at its relaxed geometry.

Cell lengths 7.1433, 7.1433, 7.1483 Å; angles 95.74, 95.74, 143.08 degrees
Positions (direct):
Ca (0.0000, 0.0000, 0.0000)
Mg (0.2576, 0.4991, 0.7588)
Mg (0.4991, 0.2576, 0.7588)
Mg (0.5009, 0.7424, 0.2412)
Mg (0.7424, 0.5009, 0.2412)
Cu (0.0013, 0.3759, 0.3739)
Cu (0.2113, 0.2113, 0.4223)
Cu (0.2115, 0.7885, 0.0000)
Cu (0.3759, 0.0013, 0.3739)
Cu (0.6241, 0.9987, 0.6261)
Cu (0.7885, 0.2115, 0.0000)
Cu (0.7887, 0.7887, 0.5777)
Cu (0.9987, 0.6241, 0.6261)

Calculated values
Crystal system = monoclinic
DOS at the Fermi energy = 5.1 states/eV/cell
Size of the total moment = 0.00 μB/cell

Relative to the most stable one, in eV/atom, the structures come out at a 0.079; b 0.000.

a:
DFT (PBE) results for crystalline Ca2Mg4Cu at its relaxed geometry.

Cell lengths 6.5772, 6.5772, 10.0547 Å; angles 90.00, 90.00, 90.00 degrees
Positions (direct):
Ca (0.0000, 0.5000, 0.2500)
Ca (0.0000, 0.5000, 0.7500)
Ca (0.5000, 0.0000, 0.2500)
Ca (0.5000, 0.0000, 0.7500)
Mg (0.2277, 0.2277, 0.0000)
Mg (0.2277, 0.7723, 0.0000)
Mg (0.2723, 0.2723, 0.5000)
Mg (0.2723, 0.7277, 0.5000)
Mg (0.7277, 0.2723, 0.5000)
Mg (0.7277, 0.7277, 0.5000)
Mg (0.7723, 0.2277, 0.0000)
Mg (0.7723, 0.7723, 0.0000)
Cu (0.0000, 0.0000, 0.5000)
Cu (0.5000, 0.5000, 0.0000)

Calculated values
Crystal system = tetragonal
DOS at the Fermi energy = 11.6 states/eV/cell
Size of the total moment = 0.00 μB/cell

b:
DFT (PBE) results for crystalline Ca2Mg4Cu at its relaxed geometry.

Cell lengths 7.9719, 7.9719, 7.9719 Å; angles 38.15, 38.15, 38.15 degrees
Positions (direct):
Ca (0.2131, 0.2131, 0.2131)
Ca (0.7869, 0.7869, 0.7869)
Mg (0.0639, 0.0639, 0.0639)
Mg (0.3689, 0.3689, 0.3689)
Mg (0.6311, 0.6311, 0.6311)
Mg (0.9361, 0.9361, 0.9361)
Cu (0.5000, 0.5000, 0.5000)

Calculated values
Crystal system = trigonal
DOS at the Fermi energy = 2.7 states/eV/cell
Size of the total moment = 0.00 μB/cell

Relative to the most stable one, in eV/atom, the structures come out at a 0.283; b 0.000.

a:
DFT (PBE) results for crystalline Ca3Mg2Cu at its relaxed geometry.

Cell lengths 7.5829, 7.5829, 7.0196 Å; angles 90.00, 90.00, 110.26 degrees
Positions (direct):
Ca (0.0018, 0.5621, 0.2500)
Ca (0.0560, 0.9440, 0.7500)
Ca (0.4379, 0.9982, 0.2500)
Ca (0.5621, 0.0018, 0.7500)
Ca (0.9440, 0.0560, 0.2500)
Ca (0.9982, 0.4379, 0.7500)
Mg (0.3280, 0.3280, 0.0000)
Mg (0.3280, 0.3280, 0.5000)
Mg (0.6720, 0.6720, 0.0000)
Mg (0.6720, 0.6720, 0.5000)
Cu (0.3953, 0.6047, 0.2500)
Cu (0.6047, 0.3953, 0.7500)

Calculated values
Crystal system = orthorhombic
DOS at the Fermi energy = 8.1 states/eV/cell
Size of the total moment = 0.00 μB/cell

b:
DFT (PBE) results for crystalline Ca3Mg2Cu at its relaxed geometry.

Cell lengths 7.3609, 7.3609, 6.5120 Å; angles 90.00, 90.00, 100.70 degrees
Positions (direct):
Ca (0.0460, 0.5887, 0.2500)
Ca (0.0823, 0.9177, 0.7500)
Ca (0.4113, 0.9540, 0.2500)
Ca (0.5887, 0.0460, 0.7500)
Ca (0.9177, 0.0823, 0.2500)
Ca (0.9540, 0.4113, 0.7500)
Mg (0.3411, 0.3411, 0.0000)
Mg (0.3411, 0.3411, 0.5000)
Mg (0.6589, 0.6589, 0.0000)
Mg (0.6589, 0.6589, 0.5000)
Cu (0.3480, 0.6520, 0.7500)
Cu (0.6520, 0.3480, 0.2500)

Calculated values
Crystal system = orthorhombic
DOS at the Fermi energy = 7.4 states/eV/cell
Size of the total moment = 0.00 μB/cell

Relative to the most stable one, in eV/atom, the structures come out at a 0.115; b 0.000.

a:
DFT (PBE) results for crystalline Ca4Mg8Cu at its relaxed geometry.

Cell lengths 8.2128, 8.2128, 8.2128 Å; angles 115.70, 115.70, 97.62 degrees
Positions (direct):
Ca (0.0000, 0.0000, 0.5000)
Ca (0.0000, 0.5000, 0.0000)
Ca (0.5000, 0.0000, 0.0000)
Ca (0.5000, 0.5000, 0.5000)
Mg (0.0000, 0.2336, 0.2336)
Mg (0.0000, 0.7664, 0.7664)
Mg (0.2072, 0.5000, 0.7072)
Mg (0.2336, 0.0000, 0.2336)
Mg (0.5000, 0.2072, 0.7072)
Mg (0.5000, 0.7928, 0.2928)
Mg (0.7664, 0.0000, 0.7664)
Mg (0.7928, 0.5000, 0.2928)
Cu (0.5000, 0.5000, 0.0000)

Calculated values
Crystal system = tetragonal
DOS at the Fermi energy = 9.1 states/eV/cell
Size of the total moment = 0.00 μB/cell

b:
DFT (PBE) results for crystalline Ca4Mg8Cu at its relaxed geometry.

Cell lengths 10.3556, 10.3556, 10.3556 Å; angles 91.54, 91.54, 161.14 degrees
Positions (direct):
Ca (0.0525, 0.1723, 0.2249)
Ca (0.1723, 0.9475, 0.1198)
Ca (0.8277, 0.0525, 0.8802)
Ca (0.9475, 0.8277, 0.7751)
Mg (0.1254, 0.4955, 0.6208)
Mg (0.1682, 0.7067, 0.8750)
Mg (0.2933, 0.1682, 0.4615)
Mg (0.4955, 0.8746, 0.3701)
Mg (0.5045, 0.1254, 0.6299)
Mg (0.7067, 0.8318, 0.5385)
Mg (0.8318, 0.2933, 0.1250)
Mg (0.8746, 0.5045, 0.3792)
Cu (0.5000, 0.5000, 0.0000)

Calculated values
Crystal system = tetragonal
DOS at the Fermi energy = 9.1 states/eV/cell
Size of the total moment = 0.00 μB/cell

Relative to the most stable one, in eV/atom, the structures come out at a 0.190; b 0.000.

a:
DFT (PBE) results for crystalline Ca3Mg2Cu2 at its relaxed geometry.

Cell lengths 8.8800, 8.8800, 11.4790 Å; angles 103.49, 103.49, 25.00 degrees
Positions (direct):
Ca (0.0736, 0.0736, 0.4208)
Ca (0.2989, 0.2989, 0.1296)
Ca (0.3804, 0.3804, 0.8344)
Ca (0.6196, 0.6196, 0.1656)
Ca (0.7011, 0.7011, 0.8704)
Ca (0.9264, 0.9264, 0.5792)
Mg (0.0475, 0.0475, 0.8909)
Mg (0.2724, 0.2724, 0.3970)
Mg (0.7276, 0.7276, 0.6030)
Mg (0.9525, 0.9525, 0.1091)
Cu (0.1267, 0.1267, 0.6831)
Cu (0.4568, 0.4568, 0.2862)
Cu (0.5432, 0.5432, 0.7138)
Cu (0.8733, 0.8733, 0.3169)

Calculated values
Crystal system = monoclinic
DOS at the Fermi energy = 8.6 states/eV/cell
Size of the total moment = 0.00 μB/cell

b:
DFT (PBE) results for crystalline Ca3Mg2Cu2 at its relaxed geometry.

Cell lengths 9.0107, 9.0107, 14.6905 Å; angles 125.03, 125.03, 22.48 degrees
Positions (direct):
Ca (0.1323, 0.1323, 0.1119)
Ca (0.1494, 0.1494, 0.8777)
Ca (0.3107, 0.3107, 0.4443)
Ca (0.6893, 0.6893, 0.5557)
Ca (0.8506, 0.8506, 0.1223)
Ca (0.8677, 0.8677, 0.8881)
Mg (0.0742, 0.0742, 0.2980)
Mg (0.4539, 0.4539, 0.3669)
Mg (0.5461, 0.5461, 0.6331)
Mg (0.9258, 0.9258, 0.7020)
Cu (0.1957, 0.1957, 0.7203)
Cu (0.4845, 0.4845, 0.1095)
Cu (0.5155, 0.5155, 0.8905)
Cu (0.8043, 0.8043, 0.2797)

Calculated values
Crystal system = monoclinic
DOS at the Fermi energy = 10.2 states/eV/cell
Size of the total moment = 0.00 μB/cell

Relative to the most stable one, in eV/atom, the structures come out at a 0.000; b 0.051.

a:
DFT (PBE) results for crystalline SrCa2MgCu at its relaxed geometry.

Cell lengths 5.6637, 5.6637, 5.2743 Å; angles 90.00, 90.00, 90.00 degrees
Positions (direct):
Sr (0.0000, 0.0000, 0.0000)
Ca (0.0000, 0.5000, 0.5000)
Ca (0.5000, 0.0000, 0.5000)
Mg (0.5000, 0.5000, 0.0000)
Cu (0.5000, 0.5000, 0.5000)

Calculated values
Crystal system = tetragonal
DOS at the Fermi energy = 5.7 states/eV/cell
Size of the total moment = 0.00 μB/cell

b:
DFT (PBE) results for crystalline SrCa2MgCu at its relaxed geometry.

Cell lengths 5.6184, 5.6184, 5.8422 Å; angles 90.00, 90.00, 90.00 degrees
Positions (direct):
Sr (0.0000, 0.0000, 0.0000)
Ca (0.0000, 0.5000, 0.5000)
Ca (0.5000, 0.0000, 0.5000)
Mg (0.5000, 0.5000, 0.0000)
Cu (0.0000, 0.0000, 0.5000)

Calculated values
Crystal system = tetragonal
DOS at the Fermi energy = 3.1 states/eV/cell
Size of the total moment = 0.00 μB/cell

Relative to the most stable one, in eV/atom, the structures come out at a 0.000; b 0.044.